Compound: Te2AsSe
Source: the Alexandria database
Functional: PBE-GGA
Structure: optimized geometry

Cell: 3.1867 3.1867 12.1200 Å, 90.00 90.00 90.00°
Space group P4mm (No. 99)
One atom of each set of equivalent atoms:
Te 0.0000 0.0000 0.0000 [1 per cell]
Te 0.5000 0.5000 0.3405 [1 per cell]
As 0.0000 0.0000 0.5919 [1 per cell]
Se 0.5000 0.5000 0.6979 [1 per cell]

Properties
The total magnetization is 0.00 μB per formula unit. The value obtained for the relative energy among the computed polymorphs is 197 meV per atom. The value obtained for the density of states at the Fermi level is 0.504 states/eV/atom. As for the formation energy (no corrections): 0.250 eV per atom. The density comes out at 5519 kg/m3.

Compound: TeAsSe
Source: the Alexandria database
Functional: PBE-GGA
Structure: optimized geometry

Cell: 3.7073 3.7073 6.8604 Å, 90.00 90.00 120.00°
Space group P3m1 (No. 156)
One atom of each set of equivalent atoms:
Te 0.0000 0.0000 0.0000 [1 per cell]
As 0.3333 0.6667 0.7184 [1 per cell]
Se 0.6667 0.3333 0.4898 [1 per cell]

Properties
The total magnetization is 0.00 μB per formula unit. The value obtained for the relative energy among the computed polymorphs is 94 meV per atom. The value obtained for the density of states at the Fermi level is 0.634 states/eV/atom. As for the formation energy (no corrections): 0.045 eV per atom. The density comes out at 5724 kg/m3.

Compound: TeAs2Se
Source: the Alexandria database
Functional: PBE-GGA
Structure: optimized geometry

Cell: 3.9092 3.9092 21.9109 Å, 90.00 90.00 120.00°
Space group R3m (No. 160, hexagonal axes)
One atom of each set of equivalent atoms:
Te 0.0000 0.0000 0.0000 [3 per cell]
As 0.0000 0.0000 0.4199 [3 per cell]
As 0.0000 0.0000 0.5828 [3 per cell]
Se 0.0000 0.0000 0.1724 [3 per cell]

Properties
The total magnetization is 0.00 μB per formula unit. The value obtained for the relative energy among the computed polymorphs is 132 meV per atom. The value obtained for the density of states at the Fermi level is 0.654 states/eV/atom. As for the formation energy (no corrections): 0.203 eV per atom. The density comes out at 6123 kg/m3.

Compound: TeAsSe3
Source: the Alexandria database
Functional: PBE-GGA
Structure: optimized geometry

Cell: 5.3208 5.3208 5.3208 Å, 90.00 90.00 90.00°
Space group Pm-3m (No. 221)
One atom of each set of equivalent atoms:
Te 0.0000 0.0000 0.0000 [1 per cell]
As 0.5000 0.5000 0.5000 [1 per cell]
Se 0.0000 0.0000 0.5000 [3 per cell]

Properties
The total magnetization is 1.07 μB per formula unit. The value obtained for the relative energy among the computed polymorphs is 849 meV per atom. The value obtained for the density of states at the Fermi level is 0.846 states/eV/atom. As for the formation energy (no corrections): 0.845 eV per atom. The density comes out at 4844 kg/m3.

Compound: TeAsSe2
Source: the Alexandria database
Functional: PBE-GGA
Structure: optimized geometry

Cell: 5.2529 3.5928 5.7484 Å, 90.00 103.31 90.00°
Space group P2/m (No. 10)
One atom of each set of equivalent atoms:
Te 0.0000 0.0000 0.0000 [1 per cell]
As 0.0000 0.0000 0.5000 [1 per cell]
Se 0.3882 0.5000 0.6591 [2 per cell]

Properties
The total magnetization is 0.00 μB per formula unit. The value obtained for the relative energy among the computed polymorphs is 152 meV per atom. The value obtained for the density of states at the Fermi level is 0.576 states/eV/atom. As for the formation energy (no corrections): 0.103 eV per atom. The density comes out at 5669 kg/m3.

Compound: TeAsSe
Source: the Alexandria database
Functional: PBE-GGA
Structure: optimized geometry

Cell: 3.6602 3.6602 13.9192 Å, 90.00 90.00 90.00°
Space group I4mm (No. 107)
One atom of each set of equivalent atoms:
Te 0.0000 0.0000 0.0000 [2 per cell]
As 0.0000 0.0000 0.1888 [2 per cell]
Se 0.0000 0.0000 0.7327 [2 per cell]

Properties
The total magnetization is 0.00 μB per formula unit. The value obtained for the relative energy among the computed polymorphs is 145 meV per atom. The value obtained for the density of states at the Fermi level is 0.569 states/eV/atom. As for the formation energy (no corrections): 0.097 eV per atom. The density comes out at 5013 kg/m3.

Compound: TeAsSe3
Source: the Alexandria database
Functional: PBE-GGA
Structure: optimized geometry

Cell: 5.0442 5.0442 5.0442 Å, 90.00 90.00 90.00°
Space group Pm-3m (No. 221)
One atom of each set of equivalent atoms:
Te 0.0000 0.0000 0.0000 [1 per cell]
As 0.5000 0.5000 0.5000 [1 per cell]
Se 0.0000 0.5000 0.5000 [3 per cell]

Properties
The total magnetization is 0.00 μB per formula unit. The value obtained for the relative energy among the computed polymorphs is 497 meV per atom. The value obtained for the density of states at the Fermi level is 1.044 states/eV/atom. As for the formation energy (no corrections): 0.492 eV per atom. The density comes out at 5685 kg/m3.

Compound: Te2AsSe
Source: the Alexandria database
Functional: PBE-GGA
Structure: optimized geometry

Cell: 6.0502 8.4698 4.2331 Å, 90.00 90.00 90.00°
Space group Cmmm (No. 65)
One atom of each set of equivalent atoms:
Te 0.0000 0.2405 0.0000 [4 per cell]
As 0.0000 0.0000 0.5000 [2 per cell]
Se 0.0000 0.5000 0.5000 [2 per cell]

Properties
The total magnetization is 0.00 μB per formula unit. The value obtained for the relative energy among the computed polymorphs is 55 meV per atom. The value obtained for the density of states at the Fermi level is 0.570 states/eV/atom. As for the formation energy (no corrections): 0.108 eV per atom. The density comes out at 6263 kg/m3.

Question: Which of these has the highest formation energy (no corrections)?
Answer: number 4